FePO4 after structural relaxation. Source: Alexandria via LeMat-Bulk, functional PBE with a Hubbard U.

Summary:
The value obtained for the electronic total energy is -7.106 eV per atom. The value obtained for the volume is 17.16 A^3/atom. Its symmetry is Pna2_1. Its density of states at the Fermi level is 0.00 states/eV/f.u. As for the theoretical density: 2.4 g/cm3.

a b c (Å): 10.582 5.279 7.374
angles (deg): 90.00 90.00 90.00
Positions (direct):
Fe1 0.149 0.198 0.000
Fe2 0.351 0.698 0.500
Fe3 0.649 0.302 0.000
Fe4 0.851 0.802 0.500
P1 0.100 0.697 0.750
P2 0.400 0.197 0.250
P3 0.600 0.803 0.750
P4 0.900 0.303 0.250
O1 0.039 0.253 0.196
O2 0.116 0.415 0.804
O3 0.134 0.863 0.916
O4 0.186 0.757 0.587
O5 0.314 0.257 0.087
O6 0.366 0.363 0.416
O7 0.384 0.915 0.304
O8 0.461 0.753 0.696
O9 0.539 0.247 0.196
O10 0.616 0.085 0.804
O11 0.634 0.637 0.916
O12 0.686 0.743 0.587
O13 0.814 0.243 0.087
O14 0.866 0.137 0.416
O15 0.884 0.585 0.304
O16 0.961 0.747 0.696